The following is a PBE calculation of a relaxed structure of CuSbI2Br, from Alexandria via LeMat-Bulk.

It has space group P4/mmm (No. 123), with a = 5.263 Å, b = 5.263 Å, c = 5.423 Å, α = 90.00°, β = 90.00° and γ = 90.00°. The distinct sites, in fractional coordinates, are Cu at (0.000, 0.000, 0.000), Sb at (0.000, 0.000, 0.500), I at (0.000, 0.500, 0.000) and Br at (0.500, 0.500, 0.500).

Its spin magnetization is 0.0 μB/f.u. The theoretical density comes out at 5.74 Mg/m³. The calculation puts the uncorrected formation energy at 271 meV/atom.

The following is a PBE calculation of a relaxed structure of TmTh8C6, from Alexandria via LeMat-Bulk.

It has space group R-3 (No. 148, hexagonal axes), with a = 6.3843 Å, b = 6.3843 Å, c = 28.2812 Å, α = 90.00°, β = 90.00° and γ = 120.00°. The distinct sites, in fractional coordinates, are Tm at (0.0000, 0.0000, 0.0000), Th at (0.0000, 0.0000, 0.3334), Th at (0.0003, 0.3323, 0.8964) and C at (0.0000, 0.3279, 0.0568).

Its spin magnetization is 0.0 μB/f.u. The theoretical density comes out at 10.47 Mg/m³. The total energy comes out at -8.21 eV per atom.

The following is a PBE calculation of a relaxed structure of Hf2CoRuI, from Alexandria via LeMat-Bulk.

It has space group P4/mmm (No. 123), with a = 4.918 Å, b = 4.918 Å, c = 5.138 Å, α = 90.00°, β = 90.00° and γ = 90.00°. The distinct sites, in fractional coordinates, are Hf at (0.000, 0.500, 0.000), Co at (0.000, 0.000, 0.500), Ru at (0.500, 0.500, 0.000) and I at (0.500, 0.500, 0.500).

Its spin magnetization is 0.0 μB/f.u. The theoretical density comes out at 8.60 Mg/m³. The calculation puts the uncorrected formation energy at 1134 meV/atom.

The following is a PBE calculation of a relaxed structure of Ca2PdBr, from Alexandria via LeMat-Bulk.

It has space group I-42d (No. 122), with a = 7.636 Å, b = 7.636 Å, c = 8.418 Å, α = 90.00°, β = 90.00° and γ = 90.00°. The distinct sites, in fractional coordinates, are Ca at (0.232, 0.250, 0.125), Pd at (0.000, 0.000, 0.000) and Br at (0.000, 0.000, 0.500).

Its spin magnetization is 0.0 μB/f.u. The theoretical density comes out at 3.61 Mg/m³. The calculation puts the uncorrected formation energy at -819 meV/atom.

The following is a PBE calculation of a relaxed structure of CdIn9Sn2, from Alexandria via LeMat-Bulk.

It has space group P4/mmm (No. 123), with a = 4.537 Å, b = 4.537 Å, c = 15.683 Å, α = 90.00°, β = 90.00° and γ = 90.00°. The distinct sites, in fractional coordinates, are Cd at (0.000, 0.000, 0.000), In at (0.000, 0.500, 0.162), In at (0.000, 0.500, 0.500), In at (0.500, 0.500, 0.000), In at (0.500, 0.500, 0.332) and Sn at (0.000, 0.000, 0.331).

Its spin magnetization is 0.0 μB/f.u. The theoretical density comes out at 7.11 Mg/m³. The total energy comes out at -2.77 eV per atom.

The following is a PBE calculation of a relaxed structure of TmThPb2, from Alexandria via LeMat-Bulk.

It has space group P-3m1 (No. 164), with a = 4.3901 Å, b = 4.3901 Å, c = 7.9692 Å, α = 90.00°, β = 90.00° and γ = 120.00°. The distinct sites, in fractional coordinates, are Tm at (0.0000, 0.0000, 0.0000), Th at (0.0000, 0.0000, 0.5000) and Pb at (0.3333, 0.6667, 0.2398).

Its spin magnetization is 0.0 μB/f.u. The theoretical density comes out at 10.18 Mg/m³. The total energy comes out at -4.98 eV per atom.

The following is a PBE calculation of a relaxed structure of MgNi4P, from Alexandria via LeMat-Bulk.

It has space group F-43m (No. 216), with a = 6.699 Å, b = 6.699 Å, c = 6.699 Å, α = 90.00°, β = 90.00° and γ = 90.00°. The distinct sites, in fractional coordinates, are Mg at (0.000, 0.000, 0.000), Ni at (0.125, 0.125, 0.375) and P at (0.250, 0.250, 0.750).

Its spin magnetization is 0.0 μB/f.u. The theoretical density comes out at 6.41 Mg/m³. The total energy comes out at -5.01 eV per atom.

The following is a PBE calculation of a relaxed structure of CdCo2As, from Alexandria via LeMat-Bulk.

It has space group P2/m (No. 10), with a = 2.879 Å, b = 3.645 Å, c = 5.768 Å, α = 90.00°, β = 103.38° and γ = 90.00°. The distinct sites, in fractional coordinates, are Cd at (0.000, 0.000, 0.000), Co at (0.360, 0.500, 0.703) and As at (0.000, 0.000, 0.500).

Its spin magnetization is 1.5 μB/f.u. The theoretical density comes out at 8.61 Mg/m³. The total energy comes out at -4.76 eV per atom.

The following is a PBE calculation of a relaxed structure of KInC, from Alexandria via LeMat-Bulk.

It has space group Cm (No. 8), with a = 9.005 Å, b = 5.481 Å, c = 8.479 Å, α = 90.00°, β = 116.58° and γ = 90.00°. The distinct sites, in fractional coordinates, are K at (0.000, 0.000, 0.000), K at (0.188, 0.000, 0.620), In at (0.273, 0.500, 0.264), In at (0.442, 0.000, 0.270), C at (0.195, 0.500, 0.517) and C at (0.349, 0.500, 0.619).

Its spin magnetization is 0.0 μB/f.u. The theoretical density comes out at 2.94 Mg/m³. The total energy comes out at -4.07 eV per atom.

The following is a PBE calculation of a relaxed structure of ScZnIn, from Alexandria via LeMat-Bulk.

It has space group P3m1 (No. 156), with a = 3.3832 Å, b = 3.3832 Å, c = 6.6590 Å, α = 90.00°, β = 90.00° and γ = 120.00°. The distinct sites, in fractional coordinates, are Sc at (0.0000, 0.0000, 0.0000), Zn at (0.6667, 0.3333, 0.3155) and In at (0.3333, 0.6667, 0.6372).

Its spin magnetization is 0.0 μB/f.u. The theoretical density comes out at 5.67 Mg/m³. The total energy comes out at -3.53 eV per atom.

The following is a PBE calculation of a relaxed structure of Sm2ErPu, from Alexandria via LeMat-Bulk.

It has space group R-3m (No. 166, hexagonal axes), with a = 3.4724 Å, b = 3.4724 Å, c = 36.9449 Å, α = 90.00°, β = 90.00° and γ = 120.00°. The distinct sites, in fractional coordinates, are Sm at (0.0000, 0.0000, 0.0887), Er at (0.0000, 0.0000, 0.5000) and Pu at (0.0000, 0.0000, 0.0000).

Its spin magnetization is 6.5 μB/f.u. The theoretical density comes out at 9.19 Mg/m³. The total energy comes out at -6.82 eV per atom.

The following is a PBE calculation of a relaxed structure of CdSi2Au, from Alexandria via LeMat-Bulk.

It has space group Immm (No. 71), with a = 2.721 Å, b = 5.188 Å, c = 10.675 Å, α = 90.00°, β = 90.00° and γ = 90.00°. The distinct sites, in fractional coordinates, are Cd at (0.000, 0.000, 0.000), Si at (0.000, 0.500, 0.224) and Au at (0.000, 0.000, 0.500).

Its spin magnetization is 0.0 μB/f.u. The theoretical density comes out at 8.06 Mg/m³. The calculation puts the uncorrected formation energy at 320 meV/atom.